The following is a PBE calculation of a relaxed structure of Nd4Sm2Y, from the Alexandria database.

The calculated density comes out at 6.3 g/cm3. The calculated total energy is -4.80 eV per atom.

The space group is Cccm (No. 66) and the conventional cell measures 8.701, 11.017 and 10.660 Å, with angles of 90.00, 90.00 and 90.00 degrees. Symmetry generates all atoms from Nd at (0.200, 0.000, 0.000), Nd at (0.250, 0.250, 0.250), Sm at (0.001, 0.295, 0.000) and Y at (0.000, 0.500, 0.250).

The following is a PBE calculation of a relaxed structure of NdSm3Y2, from the Alexandria database.

The calculated density comes out at 6.4 g/cm3. The calculated total energy is -5.30 eV per atom.

The space group is Fddd (No. 70, origin choice 2) and the conventional cell measures 7.232, 10.231 and 21.703 Å, with angles of 90.00, 90.00 and 90.00 degrees. Symmetry generates all atoms from Nd at (0.125, 0.125, 0.125), Sm at (0.125, 0.125, 0.292), Sm at (0.125, 0.125, 0.625) and Y at (0.125, 0.125, 0.458).

The following is a PBE calculation of a relaxed structure of Nd6SmY4, from the Alexandria database.

The calculated density comes out at 5.8 g/cm3. The calculated total energy is -5.07 eV per atom.

The space group is I-42m (No. 121) and the conventional cell measures 6.828, 6.828 and 16.707 Å, with angles of 90.00, 90.00 and 90.00 degrees. Symmetry generates all atoms from Nd at (0.000, 0.500, 0.000), Nd at (0.190, 0.190, 0.176), Sm at (0.000, 0.000, 0.000) and Y at (0.176, 0.176, 0.382).

Total magnetic moment for the records above, in order: 0.00; 0.00; 0.00 μB per formula unit